1.
Tb2ErCd8 | PBE-GGA | relaxed

Computed properties:
E_form	-0.23	eV/atom
volume	535	Å³/cell

Cell and atoms, written as CIF:
```
data_Tb2ErCd8
_symmetry_space_group_name_H-M 'C 1 2/m 1'
_symmetry_Int_Tables_number 12
_cell_length_a 8.1714
_cell_length_b 15.8374
_cell_length_c 5.3304
_cell_angle_alpha 90.00
_cell_angle_beta 129.08
_cell_angle_gamma 90.00
loop_
_symmetry_equiv_pos_as_xyz
'x,y,z'
'-x,-y,-z'
'-x,y,-z'
'x,-y,z'
'x+1/2,y+1/2,z'
'-x+1/2,-y+1/2,-z'
'-x+1/2,y+1/2,-z'
'x+1/2,-y+1/2,z'
loop_
_atom_site_label
_atom_site_type_symbol
_atom_site_fract_x
_atom_site_fract_y
_atom_site_fract_z
_atom_site_occupancy
Tb1 Tb 0.0000 0.1889 0.0000 1
Er1 Er 0.0000 0.5000 0.5000 1
Cd1 Cd 0.0000 0.3006 0.5000 1
Cd2 Cd 0.0203 0.0000 0.7724 1
Cd3 Cd 0.2303 0.3713 0.2441 1
```

2.
DyAlNiIr | PBE-GGA | relaxed

Computed properties:
E_form	-0.60	eV/atom
volume	264	Å³/cell

Cell and atoms, written as CIF:
```
data_DyAlNiIr
_symmetry_space_group_name_H-M 'F -4 3 m'
_symmetry_Int_Tables_number 216
_symmetry_space_group_name_Hall 'F -4 2 3'
_cell_length_a 6.4151
_cell_length_b 6.4151
_cell_length_c 6.4151
_cell_angle_alpha 90.00
_cell_angle_beta 90.00
_cell_angle_gamma 90.00
loop_
_atom_site_label
_atom_site_type_symbol
_atom_site_fract_x
_atom_site_fract_y
_atom_site_fract_z
_atom_site_occupancy
Dy1 Dy 0.0000 0.0000 0.0000 1
Al1 Al 0.0000 0.0000 0.5000 1
Ni1 Ni 0.2500 0.2500 0.2500 1
Ir1 Ir 0.2500 0.2500 0.7500 1
```

3.
Pm5Pt3 | PBE-GGA | relaxed

Computed properties:
E_form	-0.93	eV/atom
volume	850	Å³/cell

Cell and atoms, written as CIF:
```
data_Pm5Pt3
_symmetry_space_group_name_H-M 'P 4/n c c'
_symmetry_Int_Tables_number 130
_cell_length_a 11.3212
_cell_length_b 11.3212
_cell_length_c 6.6337
_cell_angle_alpha 90.00
_cell_angle_beta 90.00
_cell_angle_gamma 90.00
loop_
_symmetry_equiv_pos_as_xyz
'x,y,z'
'-x,-y,-z'
'-y+1/2,x,z'
'y+1/2,-x,-z'
'-x+1/2,-y+1/2,z'
'x+1/2,y+1/2,-z'
'y,-x+1/2,z'
'-y,x+1/2,-z'
'x+1/2,-y,-z+1/2'
'-x+1/2,y,z+1/2'
'-y,-x,-z+1/2'
'y,x,z+1/2'
'-x,y+1/2,-z+1/2'
'x,-y+1/2,z+1/2'
'y+1/2,x+1/2,-z+1/2'
'-y+1/2,-x+1/2,z+1/2'
loop_
_atom_site_label
_atom_site_type_symbol
_atom_site_fract_x
_atom_site_fract_y
_atom_site_fract_z
_atom_site_occupancy
Pm1 Pm 0.0432 0.1593 0.1219 1
Pm2 Pm 0.2500 0.7500 0.0000 1
Pt1 Pt 0.0961 0.5961 0.7500 1
Pt2 Pt 0.2500 0.2500 0.3834 1
```

4.
HfNb2Cl | PBE-GGA | relaxed

Computed properties:
energy relative to the elements, uncorrected	0.4484	eV per atom
volume	314	Å³/cell

Cell and atoms, written as CIF:
```
data_HfNb2Cl
_symmetry_space_group_name_H-M 'I -4 2 d'
_symmetry_Int_Tables_number 122
_symmetry_space_group_name_Hall 'I -4 2bw'
_cell_length_a 3.8655
_cell_length_b 3.8655
_cell_length_c 20.9875
_cell_angle_alpha 90.00
_cell_angle_beta 90.00
_cell_angle_gamma 90.00
loop_
_atom_site_label
_atom_site_type_symbol
_atom_site_fract_x
_atom_site_fract_y
_atom_site_fract_z
_atom_site_occupancy
Hf1 Hf 0.0000 0.0000 0.0000 1
Nb1 Nb 0.2457 0.2500 0.1250 1
Cl1 Cl 0.0000 0.0000 0.5000 1
```